1.
Entry from Alexandria: CaPt3 after structural relaxation (PBE).

a b c (Å): 2.9546 2.9546 9.2534
angles (deg): 90.00 90.00 120.00
Fractional positions:
Pt 0.3333 0.6667 0.2540
Pt 0.0000 0.0000 0.5000
Pt 0.3333 0.6667 0.7460
Ca 0.0000 0.0000 0.0000

Output
E_form: -0.06 eV per atom
Calculated density: 14.84 g cm⁻³
Space group: P-6m2, No. 187

***

2.
Entry from Alexandria: BaSiB after structural relaxation (PBE).

a b c (Å): 4.8250 4.8250 4.8250
angles (deg): 60.00 60.00 60.00
Fractional positions:
Ba 0.5000 0.5000 0.5000
B 0.0000 0.0000 0.0000
Si 0.7500 0.7500 0.7500

Output
Calculated density: 3.68 g cm⁻³
ΔE_f (raw): 338 kJ/mol of formula units
Space group: F-43m, No. 216
ΔE to the lowest computed polymorph: 1122.0 meV per atom

***

3.
Entry from Alexandria: Li2NdIn9 after structural relaxation (PBE).

a b c (Å): 4.5970 4.5970 13.9639
angles (deg): 90.00 90.00 90.00
Fractional positions:
In 0.0000 0.5000 0.5000
In 0.5000 0.5000 0.6653
In 0.5000 0.0000 0.8231
In 0.5000 0.5000 0.3347
In 0.5000 0.0000 0.1769
In 0.0000 0.5000 0.8231
In 0.5000 0.5000 0.0000
In 0.0000 0.5000 0.1769
In 0.5000 0.0000 0.5000
Nd 0.0000 0.0000 0.0000
Li 0.0000 0.0000 0.3309
Li 0.0000 0.0000 0.6691

Output
E_form: -0.23 eV per atom
Calculated density: 6.70 g cm⁻³
Space group: P4/mmm, No. 123

***

4.
Entry from Alexandria: NdBiPbAu after structural relaxation (PBE).

a b c (Å): 5.4325 5.4325 5.4325
angles (deg): 60.00 60.00 60.00
Fractional positions:
Bi 0.5000 0.5000 0.5000
Pb 0.2500 0.2500 0.2500
Au 0.0000 0.0000 0.0000
Nd 0.7500 0.7500 0.7500

Output
E_form: -0.39 eV per atom
Calculated density: 11.09 g cm⁻³
Space group: F-43m, No. 216

***

5.
Entry from Alexandria: SrTaPt2 after structural relaxation (PBE).

a b c (Å): 3.3241 3.3469 8.2619
angles (deg): 66.11 90.00 90.00
Fractional positions:
Sr 0.5000 0.2500 0.2500
Pt 0.0000 0.4372 0.5627
Pt 0.0000 0.0628 0.9373
Ta 0.5000 0.7500 0.7500

Output
E_form: -0.58 eV per atom
Calculated density: 13.02 g cm⁻³
Space group: Pmmm, No. 47
ΔE to the lowest computed polymorph: 0.0 meV per atom

***

6.
Entry from Alexandria: YW3S after structural relaxation (PBE).

a b c (Å): 4.5408 4.5408 4.5408
angles (deg): 90.00 90.00 90.00
Fractional positions:
Y 0.5000 0.5000 0.5000
W 0.0000 0.5000 0.0000
W 0.5000 0.0000 0.0000
W 0.0000 0.0000 0.5000
S 0.0000 0.0000 0.0000

Output
Calculated density: 11.93 g cm⁻³
ΔE_f (raw): 269 kJ/mol of formula units
Space group: Pm-3m, No. 221
ΔE to the lowest computed polymorph: 0.0 meV per atom